No. 1
Here is a relaxed ScAu crystal from Alexandria. Energies are from PBE.

Unit cell a=3.404 b=3.404 c=3.404 alpha=90.00 beta=90.00 gamma=90.00
Fractional positions:
Sc1 0.000 0.000 0.000
Au1 0.500 0.500 0.500

Computed properties:
Magnetization, Bohr magnetons per cell: 0.00
Energy of formation, eV per atom: -0.81
E_tot, eV/cell: -11.23
N(E_F), states/eV/atom: 0.434

---

No. 2
Here is a relaxed Ba2As3Pd9 crystal from Alexandria. Energies are from PBE.

Unit cell a=8.192 b=8.192 c=11.035 alpha=114.59 beta=114.59 gamma=55.27
Fractional positions:
Ba1 0.078 0.272 0.235
Ba2 0.272 0.078 0.735
Ba3 0.728 0.922 0.265
Ba4 0.922 0.728 0.765
As1 0.000 0.500 0.000
As2 0.171 0.653 0.496
As3 0.347 0.829 0.004
As4 0.500 0.000 0.500
As5 0.653 0.171 0.996
As6 0.829 0.347 0.504
Pd1 0.008 0.104 0.904
Pd2 0.104 0.008 0.404
Pd3 0.189 0.348 0.550
Pd4 0.209 0.587 0.249
Pd5 0.323 0.520 0.011
Pd6 0.348 0.189 0.050
Pd7 0.357 0.643 0.750
Pd8 0.413 0.791 0.251
Pd9 0.480 0.677 0.489
Pd10 0.520 0.323 0.511
Pd11 0.587 0.209 0.749
Pd12 0.643 0.357 0.250
Pd13 0.652 0.811 0.950
Pd14 0.677 0.480 0.989
Pd15 0.791 0.413 0.751
Pd16 0.811 0.652 0.450
Pd17 0.896 0.992 0.596
Pd18 0.992 0.896 0.096

Computed properties:
Magnetization, Bohr magnetons per cell: 0.00
Energy of formation, eV per atom: -0.50
E_tot, eV/cell: -143.07
N(E_F), states/eV/atom: 0.522

---

No. 3
Here is a relaxed K2ClF7 crystal from Alexandria. Energies are from PBE.

Unit cell a=7.781 b=7.781 c=9.681 alpha=128.33 beta=128.33 gamma=49.05
Fractional positions:
K1 0.003 0.290 0.054
K2 0.290 0.003 0.554
K3 0.710 0.997 0.446
K4 0.997 0.710 0.946
Cl1 0.307 0.693 0.750
Cl2 0.693 0.307 0.250
F1 0.053 0.111 0.243
F2 0.111 0.053 0.743
F3 0.215 0.589 0.502
F4 0.236 0.471 0.711
F5 0.404 0.596 0.250
F6 0.411 0.785 0.998
F7 0.471 0.236 0.211
F8 0.529 0.764 0.789
F9 0.589 0.215 0.002
F10 0.596 0.404 0.750
F11 0.764 0.529 0.289
F12 0.785 0.411 0.498
F13 0.889 0.947 0.257
F14 0.947 0.889 0.757

Computed properties:
Raw formation energy, eV per atom: -1.4119
Magnetization, Bohr magnetons per cell: 0.12
E_tot, eV/cell: -62.52

---

No. 4
Here is a relaxed CePuIr crystal from Alexandria. Energies are from PBE.

Unit cell a=4.857 b=4.857 c=2.930 alpha=90.00 beta=90.00 gamma=120.00
Fractional positions:
Ce1 0.000 0.000 0.000
Pu1 0.333 0.667 0.000
Ir1 0.667 0.333 0.500

Computed properties:
Magnetization, Bohr magnetons per cell: 5.05
Energy of formation, eV per atom: -0.30
E_tot, eV/cell: -30.03
N(E_F), states/eV/atom: 2.008
Energy above the most stable polymorph in this dataset, meV/atom: 181